YAl5 | PBE | optimized geometry

```
6
Lattice="6.5262 0.0089 0.0000 -5.1574 3.9990 0.0000 0.0000 0.0000 4.2749" Properties=species:S:1:pos:R:3 pbc="T T T"
Y 6.2019 0.1197 0.0000
Al 4.1668 0.8147 2.1375
Al 2.4330 1.4068 0.0000
Al 0.3590 2.1151 2.1375
Al -3.4469 3.4148 2.1375
Al -1.7130 2.8227 0.0000
```

Properties
The calculation puts the formation enthalpy at 0 K at -1.405 eV per formula unit. The value obtained for the total energy is -4.4303 eV per atom. The total magnetization is 0.00 Bohr magnetons per cell. The space group is Cmmm.